1.
Material: NaSb2Ir
Method: DFT, PBE-GGA
State: optimized geometry

Cell: 3.9310 3.9310 9.2842 Å, 77.78 77.78 60.00°
With the nearest neighbours (Å) after each atom.
Element x y z (fractional)
Sb: 0.1145 0.1145 0.6565  3 Ir 2.67
Sb: 0.8855 0.8855 0.3435  3 Ir 2.67
Ir: 0.5000 0.5000 0.5000  6 Sb 2.67
Na: 0.0000 0.0000 0.0000  2 Sb 3.09

Output
energy above the most stable polymorph in this dataset	0.000	eV per atom
space group	R-3m (166)
ΔE_f (raw)	-0.102	eV/atom
total DFT energy (no corrections)	-4.709	eV/atom

2.
Material: SmDyTh2
Method: DFT, PBE-GGA
State: optimized geometry

Cell: 3.4982 3.4982 12.5936 Å, 82.02 82.02 60.00°
With the nearest neighbours (Å) after each atom.
Element x y z (fractional)
Sm: 0.0000 0.0000 0.0000  2 Th 3.28, 6 Sm 3.50
Th: 0.9121 0.9121 0.2637  1 Sm 3.28, 6 Th 3.50, 3 Dy 3.57
Th: 0.0879 0.0879 0.7363  1 Sm 3.28, 6 Th 3.50, 3 Dy 3.57
Dy: 0.5000 0.5000 0.5000  6 Dy 3.50, 6 Th 3.57

Output
energy above the most stable polymorph in this dataset	0.174	eV per atom
space group	R-3m (166)
ΔH_f (0 K)	0.82	eV/f.u.
total DFT energy (no corrections)	-5.836	eV/atom

3.
Material: Tb7Bi2Pb2
Method: DFT, PBE-GGA
State: optimized geometry

Cell: 7.1524 7.3878 7.1524 Å, 89.99 102.27 90.01°
With the nearest neighbours (Å) after each atom.
Element x y z (fractional)
Tb: 0.0000 0.0000 0.0000  2 Bi 3.12
Tb: 0.0001 0.2800 0.5001  2 Bi 3.07, 1 Tb 3.25, 2 Pb 3.28
Tb: 0.5000 0.2681 0.5000  2 Bi 3.15, 2 Pb 3.32, 1 Tb 3.43
Tb: 0.9999 0.7200 0.4999  2 Bi 3.07, 1 Tb 3.25, 2 Pb 3.28
Tb: 0.4999 0.2800 0.9999  2 Bi 3.07, 1 Tb 3.25, 2 Pb 3.28
Tb: 0.5000 0.7319 0.5000  2 Bi 3.15, 2 Pb 3.32, 1 Tb 3.43
Tb: 0.5001 0.7200 0.0001  2 Bi 3.07, 1 Tb 3.25, 2 Pb 3.28
Bi: 0.2797 0.9999 0.7203  7 Tb 3.07-3.15
Bi: 0.7203 0.0001 0.2797  7 Tb 3.07-3.15
Pb: 0.1833 0.5000 0.1833  6 Tb 3.28-3.32, 1 Pb 3.29
Pb: 0.8167 0.5000 0.8167  6 Tb 3.28-3.32, 1 Pb 3.29

Output
space group	Cmmm (65)
ΔH_f (0 K)	-2.17	eV/f.u.
total DFT energy (no corrections)	-4.524	eV/atom

4.
Material: SmTl3Ga3I8
Method: DFT, PBE-GGA
State: optimized geometry

Cell: 9.2171 9.2305 10.2716 Å, 116.87 90.00 119.95°
With the nearest neighbours (Å) after each atom.
Element x y z (fractional)
Ga: 0.0000 0.5000 0.5000  6 I 3.32
Ga: 0.5000 0.0000 0.5000  6 I 3.32
Ga: 0.5000 0.5000 0.5000  6 I 3.32
Tl: 0.5000 0.5000 0.0000  6 I 3.58-3.62
Tl: 0.0000 0.0000 0.0000  6 I 3.58-3.62
Tl: 0.0000 0.5000 0.0000  6 I 3.58-3.62
I: 0.2273 0.9852 0.7119  1 Sm 3.11, 2 Ga 3.32
I: 0.7579 0.9852 0.7119  1 Sm 3.11, 2 Ga 3.32
I: 0.7425 0.4850 0.7267  3 Ga 3.32, 3 Tl 3.58
I: 0.2273 0.4546 0.7118  1 Sm 3.11, 2 Ga 3.32
I: 0.2421 0.0148 0.2881  1 Sm 3.11, 2 Ga 3.32
I: 0.2575 0.5150 0.2733  3 Ga 3.32, 3 Tl 3.58
I: 0.7727 0.5454 0.2882  1 Sm 3.11, 2 Ga 3.32
I: 0.7727 0.0148 0.2881  1 Sm 3.11, 2 Ga 3.32
Sm: 0.0000 0.0000 0.5000  6 I 3.11

Output
space group	C2/m (12)
ΔE_f (raw)	-0.630	eV/atom
total DFT energy (no corrections)	-2.850	eV/atom

5.
Material: BaU3Se8
Method: DFT, PBE-GGA
State: optimized geometry

Cell: 8.2763 8.2763 9.1622 Å, 63.15 63.15 60.00°
With the nearest neighbours (Å) after each atom.
Element x y z (fractional)
Ba: 0.5000 0.5000 0.5000  6 Se 3.32
Se: 0.2387 0.7130 0.8095  2 U 2.77
Se: 0.7613 0.7613 0.1905  2 U 2.77
Se: 0.2870 0.7613 0.1905  2 U 2.77
Se: 0.7613 0.2870 0.1905  2 U 2.77
Se: 0.7130 0.2387 0.8095  2 U 2.77
Se: 0.2681 0.2681 0.1958  3 U 2.84
Se: 0.2387 0.2387 0.8095  2 U 2.77
Se: 0.7319 0.7319 0.8042  3 U 2.84
U: 0.5000 0.0000 0.0000  6 Se 2.77-2.84
U: 0.5000 0.5000 0.0000  6 Se 2.77-2.84
U: 0.0000 0.5000 0.0000  6 Se 2.77-2.84

Output
space group	R-3m (166)
ΔE_f (raw)	-1.210	eV/atom
total DFT energy (no corrections)	-6.515	eV/atom

6.
Material: CaMgZr2
Method: DFT, PBE-GGA
State: optimized geometry

Cell: 6.4001 6.4001 6.4001 Å, 150.18 126.59 62.37°
With the nearest neighbours (Å) after each atom.
Element x y z (fractional)
Zr: 0.7695 0.2695 0.5000  4 Zr 3.00-3.29, 4 Mg 3.33
Zr: 0.9981 0.9981 0.0000  4 Zr 3.00-3.29, 2 Mg 3.12, 4 Ca 3.31
Mg: 0.2397 0.7397 0.5000  6 Zr 3.12-3.33, 2 Ca 3.22, 2 Mg 3.29
Ca: 0.4927 0.4927 0.0000  2 Mg 3.22, 2 Ca 3.29, 6 Zr 3.31-3.45

Output
space group	Imm2 (44)
ΔH_f (0 K)	1.15	eV/f.u.
total DFT energy (no corrections)	-4.886	eV/atom

7.
Material: Pm5Pr4Dy
Method: DFT, PBE-GGA
State: optimized geometry

Cell: 3.6707 7.3209 13.2230 Å, 98.18 97.98 90.00°
With the nearest neighbours (Å) after each atom.
Element x y z (fractional)
Pm: 0.0988 0.8001 0.1976  6 Pm 3.64-3.68, 2 Dy 3.65, 4 Pr 3.65-3.67
Pm: 0.5000 0.5000 0.0000  6 Pm 3.64-3.67, 4 Pr 3.65, 2 Dy 3.66
Pm: 0.9012 0.1999 0.8024  6 Pm 3.64-3.68, 2 Dy 3.65, 4 Pr 3.65-3.67
Pm: 0.6993 0.5994 0.3986  6 Pr 3.66-3.68, 6 Pm 3.67-3.69
Pm: 0.3007 0.4006 0.6014  6 Pr 3.66-3.68, 6 Pm 3.67-3.69
Pr: 0.0986 0.2985 0.1972  2 Dy 3.63, 6 Pm 3.65-3.68, 4 Pr 3.67-3.69
Pr: 0.3003 0.8999 0.6007  6 Pm 3.66-3.68, 6 Pr 3.67-3.69
Pr: 0.9014 0.7015 0.8028  2 Dy 3.63, 6 Pm 3.65-3.68, 4 Pr 3.67-3.69
Pr: 0.6997 0.1001 0.3993  6 Pm 3.66-3.68, 6 Pr 3.67-3.69
Dy: 0.5000 0.0000 0.0000  4 Pr 3.63, 6 Pm 3.65-3.66, 2 Dy 3.67

Output
energy above the most stable polymorph in this dataset	0.000	eV per atom
space group	C2/m (12)
ΔH_f (0 K)	0.14	eV/f.u.
total DFT energy (no corrections)	-4.733	eV/atom

8.
Material: CuTc
Method: DFT, PBE-GGA
State: optimized geometry

Cell: 4.7704 4.7704 4.7704 Å, 90.00 90.00 90.00°
With the nearest neighbours (Å) after each atom.
Element x y z (fractional)
Tc: 0.5995 0.4005 0.9005  7 Cu 2.49-2.57
Tc: 0.9005 0.5995 0.4005  7 Cu 2.49-2.57
Tc: 0.0995 0.0995 0.0995  7 Cu 2.49-2.57
Tc: 0.4005 0.9005 0.5995  7 Cu 2.49-2.57
Cu: 0.4012 0.4012 0.4012  7 Tc 2.49-2.57
Cu: 0.0988 0.5988 0.9012  7 Tc 2.49-2.57
Cu: 0.5988 0.9012 0.0988  7 Tc 2.49-2.57
Cu: 0.9012 0.0988 0.5988  7 Tc 2.49-2.57

Output
energy above the most stable polymorph in this dataset	0.401	eV per atom
space group	P2_13 (198)
ΔH_f (0 K)	0.99	eV/f.u.
total DFT energy (no corrections)	-6.737	eV/atom

Among the records above, which one has the lowest total DFT energy (no corrections)? CuTc

What is the formula in the second record? SmDyTh2